Entry 1:
NaGaRh2Au: relaxed, PBE-GGA.

Calculated values
Total magnetization = 0.68 μB/f.u.
Symmetry = P4/mmm
VASP energy = -3.193 eV per atom

The structure in POSCAR format:
```
NaGaRh2Au
1.0
4.606 0.000 0.000
0.000 4.643 0.000
0.000 0.000 4.606
Ga Au Rh Na
1 1 2 1
direct
0.500 0.500 0.500
0.000 0.500 0.000
0.500 0.000 0.000
0.000 0.000 0.500
0.000 0.000 0.000
```

---

Entry 2:
Na2GaAuS: relaxed, PBE-GGA.

Calculated values
Uncorrected formation energy = -0.01 eV/atom
Total magnetization = 0.00 μB/f.u.
Symmetry = P4/mmm

The structure in POSCAR format:
```
Na2GaAuS
1.0
-0.431 -0.048 5.446
-3.345 -3.532 -0.296
3.950 -3.764 0.279
Na S Ga Au
2 1 1 1
direct
0.500 0.000 0.000
0.000 0.000 0.500
0.000 0.500 0.000
0.500 0.500 0.500
0.000 0.000 0.000
```

---

Entry 3:
NaGaSbAu: relaxed, PBE-GGA.

Calculated values
Uncorrected formation energy = -0.14 eV/atom
Total magnetization = 0.00 μB/f.u.
Symmetry = F-43m

The structure in POSCAR format:
```
NaGaSbAu
1.0
-0.573 0.038 4.955
-3.186 -3.168 2.167
1.730 -3.792 2.740
Na Sb Ga Au
1 1 1 1
direct
0.500 0.500 0.500
0.000 0.000 0.000
0.250 0.250 0.250
0.750 0.750 0.750
```

---

Entry 4:
Na2GaSbAu6: relaxed, PBE-GGA.

Calculated values
Uncorrected formation energy = -0.04 eV/atom
Total magnetization = 0.00 μB/f.u.
Symmetry = Fm-3m

The structure in POSCAR format:
```
Na2GaSbAu6
1.0
7.249 0.000 0.000
0.000 7.249 0.000
3.625 3.624 5.126
Au Ga Na Sb
6 1 2 1
direct
0.741 0.741 0.000
0.741 0.259 0.000
0.741 0.741 0.519
0.259 0.259 0.481
0.259 0.741 0.000
0.259 0.259 0.000
0.500 0.500 0.000
0.750 0.250 0.500
0.250 0.750 0.500
0.000 0.000 0.000
```